[1]
# Li2Zr2In2PdPt | the Open Quantum Materials Database | PBE | relaxed
# electronic total energy = -5.37 eV per atom
# total moment = 0.01 Bohr magnetons per cell
# space-group type = P-4m2 (115)
data_Li2Zr2In2PdPt
_cell_length_a 4.623
_cell_length_b 4.623
_cell_length_c 6.544
_cell_angle_alpha 90.00
_cell_angle_beta 90.00
_cell_angle_gamma 90.00
_symmetry_space_group_name_H-M 'P 1'
_symmetry_Int_Tables_number 1
_symmetry_space_group_name_Hall 'P 1'
loop_
_atom_site_label
_atom_site_type_symbol
_atom_site_fract_x
_atom_site_fract_y
_atom_site_fract_z
In1 In 0.500 0.000 0.246
In2 In 0.000 0.500 0.754
Li1 Li 0.500 0.500 0.000
Li2 Li 0.000 0.000 0.500
Pd1 Pd 0.000 0.000 0.000
Pt1 Pt 0.500 0.500 0.500
Zr1 Zr 0.000 0.500 0.253
Zr2 Zr 0.500 0.000 0.747

[2]
# TmGe2 | the Open Quantum Materials Database | PBE | relaxed
# electronic total energy = -3.18 eV per atom
# total moment = 5.60 Bohr magnetons per cell
# space-group type = Fd-3m (227)
data_TmGe2
_cell_length_a 9.263
_cell_length_b 9.263
_cell_length_c 9.263
_cell_angle_alpha 60.00
_cell_angle_beta 60.00
_cell_angle_gamma 60.00
_symmetry_space_group_name_H-M 'P 1'
_symmetry_Int_Tables_number 1
_symmetry_space_group_name_Hall 'P 1'
loop_
_atom_site_label
_atom_site_type_symbol
_atom_site_fract_x
_atom_site_fract_y
_atom_site_fract_z
Ge1 Ge 0.875 0.375 0.375
Ge2 Ge 0.375 0.375 0.375
Ge3 Ge 0.375 0.875 0.375
Ge4 Ge 0.375 0.375 0.875
Tm1 Tm 0.250 0.250 0.250
Tm2 Tm 0.500 0.500 0.500

[3]
# TlB2W3 | the Open Quantum Materials Database | PBE | relaxed
# electronic total energy = -9.02 eV per atom
# total moment = 0.00 Bohr magnetons per cell
# space-group type = P6_3/mmc (194)
data_TlB2W3
_cell_length_a 3.148
_cell_length_b 3.148
_cell_length_c 19.684
_cell_angle_alpha 90.00
_cell_angle_beta 90.00
_cell_angle_gamma 120.00
_symmetry_space_group_name_H-M 'P 1'
_symmetry_Int_Tables_number 1
_symmetry_space_group_name_Hall 'P 1'
loop_
_atom_site_label
_atom_site_type_symbol
_atom_site_fract_x
_atom_site_fract_y
_atom_site_fract_z
B1 B 0.333 0.667 0.067
B2 B 0.333 0.667 0.433
B3 B 0.667 0.333 0.567
B4 B 0.667 0.333 0.933
Tl1 Tl 0.000 0.000 0.250
Tl2 Tl 0.000 0.000 0.750
W1 W 0.000 0.000 0.000
W2 W 0.667 0.333 0.127
W3 W 0.667 0.333 0.373
W4 W 0.000 0.000 0.500
W5 W 0.333 0.667 0.627
W6 W 0.333 0.667 0.873

[4]
# NaTaAl | the Open Quantum Materials Database | PBE | relaxed
# electronic total energy = -4.26 eV per atom
# energy relative to the lowest polymorph listed for this composition = 0.000 eV/atom
# total moment = 0.01 Bohr magnetons per cell
# space-group type = F-43m (216)
data_NaTaAl
_cell_length_a 4.625
_cell_length_b 4.625
_cell_length_c 4.625
_cell_angle_alpha 60.00
_cell_angle_beta 60.00
_cell_angle_gamma 60.00
_symmetry_space_group_name_H-M 'P 1'
_symmetry_Int_Tables_number 1
_symmetry_space_group_name_Hall 'P 1'
loop_
_atom_site_label
_atom_site_type_symbol
_atom_site_fract_x
_atom_site_fract_y
_atom_site_fract_z
Al1 Al 0.250 0.250 0.250
Na1 Na 0.750 0.750 0.750
Ta1 Ta 0.000 0.000 0.000

[5]
# LiNdZr | the Open Quantum Materials Database | PBE | relaxed
# electronic total energy = -3.97 eV per atom
# total moment = 0.00 Bohr magnetons per cell
# space-group type = F-43m (216)
data_LiNdZr
_cell_length_a 4.839
_cell_length_b 4.839
_cell_length_c 4.839
_cell_angle_alpha 60.00
_cell_angle_beta 60.00
_cell_angle_gamma 60.00
_symmetry_space_group_name_H-M 'P 1'
_symmetry_Int_Tables_number 1
_symmetry_space_group_name_Hall 'P 1'
loop_
_atom_site_label
_atom_site_type_symbol
_atom_site_fract_x
_atom_site_fract_y
_atom_site_fract_z
Li1 Li 0.250 0.250 0.250
Nd1 Nd 0.000 0.000 0.000
Zr1 Zr 0.750 0.750 0.750

[6]
# Zr2AlInAg2 | the Open Quantum Materials Database | PBE | relaxed
# electronic total energy = -4.94 eV per atom
# total moment = 0.00 Bohr magnetons per cell
# space-group type = Pm (6)
data_Zr2AlInAg2
_cell_length_a 11.104
_cell_length_b 4.534
_cell_length_c 11.106
_cell_angle_alpha 90.00
_cell_angle_beta 109.47
_cell_angle_gamma 90.00
_symmetry_space_group_name_H-M 'P 1'
_symmetry_Int_Tables_number 1
_symmetry_space_group_name_Hall 'P 1'
loop_
_atom_site_label
_atom_site_type_symbol
_atom_site_fract_x
_atom_site_fract_y
_atom_site_fract_z
Ag1 Ag 0.002 0.000 0.008
Ag2 Ag 0.373 0.500 0.129
Ag3 Ag 0.743 0.000 0.242
Ag4 Ag 0.129 0.500 0.374
Ag5 Ag 0.493 0.000 0.494
Ag6 Ag 0.875 0.500 0.625
Ag7 Ag 0.252 0.000 0.743
Ag8 Ag 0.633 0.500 0.882
Al1 Al 0.752 0.000 0.001
Al2 Al 0.126 0.500 0.127
Al3 Al 0.498 0.000 0.249
Al4 Al 0.250 0.000 0.498
In1 In 0.874 0.500 0.373
In2 In 0.624 0.500 0.625
In3 In 0.001 0.000 0.752
In4 In 0.376 0.500 0.875
Zr1 Zr 0.250 0.000 0.002
Zr2 Zr 0.621 0.500 0.125
Zr3 Zr 0.001 0.000 0.252
Zr4 Zr 0.373 0.500 0.373
Zr5 Zr 0.746 0.000 0.496
Zr6 Zr 0.126 0.500 0.621
Zr7 Zr 0.504 0.000 0.751
Zr8 Zr 0.880 0.500 0.881